## NaUMn2O8 (PBE with a Hubbard U)

Data for NaUMn2O8 after structural relaxation.

Computed properties:
Fermi-level density of states   0.285 states/eV per atom
Mass density   5017 kg/m3
Space group   I-4m2
VASP energy   -87.606 eV/cell
Volume   13.8 Å³/atom
Magnetic moment   5.0 μB per formula unit

Cell and atoms, written as POSCAR:
```
NaUMn2O8
1.0
-3.541 3.541 3.291
3.541 -3.541 3.291
3.541 3.541 -3.291
Na U Mn O
1 1 2 8
Cartesian
0.000 0.000 0.000
0.000 3.541 1.646
3.541 0.000 1.646
0.000 0.000 3.291
2.254 0.000 0.608
4.829 0.000 0.608
3.541 1.955 -1.178
3.541 -1.287 2.683
0.000 1.587 2.113
3.541 1.287 2.683
1.955 3.541 1.178
1.587 0.000 4.470
```